Material: MgCo2IrO
Method: DFT, PBE+U
State: relaxed

Properties
**E_tot**: -4.66 eV per atom

Lattice parameters (Å, degrees): 4.9834 4.9834 3.6847 90.00 90.00 90.00
Closest atoms and distances in Å follow each position.
Positions (direct):
Mg  0.0000  0.0000  0.0000  8 Co 3.10
Co  0.0000  0.5000  0.5000  2 Ir 2.49
Co  0.5000  0.0000  0.5000  2 Ir 2.49
Ir  0.5000  0.5000  0.5000  2 O 1.84
O  0.5000  0.5000  0.0000  2 Ir 1.84